Entry 1:
Below is a relaxed Fe2AgS3 crystal, with properties calculated at the PBE level.

Cell: 6.393 6.288 12.806 Å, 90.00 90.00 120.56°
Sites, in units of the cell vectors:
Ag (0.349, 0.000, 0.209)
Ag (0.849, 0.000, 0.291)
Ag (0.151, 0.000, 0.709)
Ag (0.651, 0.000, 0.791)
Fe (0.002, 0.336, 0.059)
Fe (0.666, 0.664, 0.059)
Fe (0.502, 0.336, 0.441)
Fe (0.166, 0.664, 0.441)
Fe (0.834, 0.336, 0.559)
Fe (0.498, 0.664, 0.559)
Fe (0.334, 0.336, 0.941)
Fe (0.998, 0.664, 0.941)
S (0.332, 0.354, 0.108)
S (0.978, 0.646, 0.108)
S (0.695, 0.000, 0.112)
S (0.195, 0.000, 0.388)
S (0.832, 0.354, 0.392)
S (0.478, 0.646, 0.392)
S (0.522, 0.354, 0.608)
S (0.168, 0.646, 0.608)
S (0.805, 0.000, 0.612)
S (0.305, 0.000, 0.888)
S (0.022, 0.354, 0.892)
S (0.668, 0.646, 0.892)

Calculated values
* mass density: 4731 kg/m3
* ΔE to the lowest computed polymorph: 4 meV/atom
* space-group type: No. 64

---

Entry 2:
Below is a relaxed Fe2AgS3 crystal, with properties calculated at the PBE level.

Cell: 6.406 10.615 6.452 Å, 90.00 90.00 93.23°
Sites, in units of the cell vectors:
Ag (0.858, 0.690, 0.110)
Ag (0.358, 0.190, 0.390)
Ag (0.642, 0.810, 0.610)
Ag (0.142, 0.310, 0.890)
Fe (0.838, 0.997, 0.109)
Fe (0.305, 0.834, 0.133)
Fe (0.805, 0.334, 0.367)
Fe (0.338, 0.497, 0.391)
Fe (0.662, 0.503, 0.609)
Fe (0.195, 0.666, 0.633)
Fe (0.695, 0.166, 0.867)
Fe (0.162, 0.003, 0.891)
S (0.704, 0.169, 0.202)
S (0.621, 0.856, 0.223)
S (0.152, 0.999, 0.225)
S (0.652, 0.499, 0.275)
S (0.121, 0.356, 0.277)
S (0.204, 0.669, 0.298)
S (0.796, 0.331, 0.702)
S (0.879, 0.644, 0.723)
S (0.348, 0.501, 0.725)
S (0.848, 0.001, 0.775)
S (0.379, 0.144, 0.777)
S (0.296, 0.831, 0.798)

Calculated values
* mass density: 4788 kg/m3
* ΔE to the lowest computed polymorph: 0 meV/atom
* space-group type: No. 14